Material: LaCuO2
Method: DFT, PBEsol
State: optimized geometry

Cell lengths 3.814, 3.814, 6.009 Å; angles 71.49, 71.49, 60.00 degrees
Atoms (fractional coordinates):
Cu 0.000 0.000 0.000
O 0.107 0.107 0.680
O 0.893 0.893 0.320
La 0.500 0.500 0.500

Values from the calculation:
SG = R-3m, No. 166
V = 70 Å³ per cell
uncorrected energy = -7.34 eV per atom
DOS(E_F) = 0.0 states/eV/f.u.